Tm2MgPd after structural relaxation, computed with PBE-GGA.

Cell lengths 3.561, 3.561, 7.418 Å; angles 90.00, 90.00, 90.00 degrees
Sites, in units of the cell vectors:
1 Tm 0.000 0.000 0.220
2 Tm 0.000 0.000 0.780
3 Mg 0.500 0.500 0.500
4 Pd 0.500 0.500 0.000



TmMg3Pd3 after structural relaxation, computed with PBE-GGA.

Cell lengths 5.623, 5.623, 5.623 Å; angles 109.73, 109.73, 109.73 degrees
Sites, in units of the cell vectors:
1 Tm 0.000 0.000 0.000
2 Mg 0.151 0.586 0.586
3 Mg 0.586 0.151 0.586
4 Mg 0.586 0.586 0.151
5 Pd 0.089 0.089 0.579
6 Pd 0.089 0.579 0.089
7 Pd 0.579 0.089 0.089



TmMg2Pd5 after structural relaxation, computed with PBE-GGA.

Cell lengths 4.202, 4.202, 15.066 Å; angles 90.00, 90.00, 90.00 degrees
Sites, in units of the cell vectors:
1 Tm 0.000 0.000 0.000
2 Tm 0.500 0.500 0.500
3 Mg 0.000 0.000 0.252
4 Mg 0.000 0.000 0.748
5 Mg 0.500 0.500 0.248
6 Mg 0.500 0.500 0.752
7 Pd 0.000 0.000 0.500
8 Pd 0.000 0.500 0.134
9 Pd 0.000 0.500 0.366
10 Pd 0.000 0.500 0.634
11 Pd 0.000 0.500 0.866
12 Pd 0.500 0.000 0.134
13 Pd 0.500 0.000 0.366
14 Pd 0.500 0.000 0.634
15 Pd 0.500 0.000 0.866
16 Pd 0.500 0.500 0.000



Tm3Mg7Pd2 after structural relaxation, computed with PBE-GGA.

Cell lengths 9.864, 9.864, 9.864 Å; angles 34.34, 34.34, 34.34 degrees
Sites, in units of the cell vectors:
1 Tm 0.000 0.000 0.000
2 Tm 0.146 0.146 0.146
3 Tm 0.854 0.854 0.854
4 Mg 0.073 0.577 0.577
5 Mg 0.423 0.423 0.927
6 Mg 0.423 0.927 0.423
7 Mg 0.500 0.500 0.500
8 Mg 0.577 0.073 0.577
9 Mg 0.577 0.577 0.073
10 Mg 0.927 0.423 0.423
11 Pd 0.334 0.334 0.334
12 Pd 0.666 0.666 0.666



TmMgPd after structural relaxation, computed with PBE-GGA.

Cell lengths 6.596, 6.596, 6.596 Å; angles 90.00, 90.00, 90.00 degrees
Sites, in units of the cell vectors:
1 Tm 0.000 0.000 0.000
2 Tm 0.000 0.500 0.500
3 Tm 0.500 0.000 0.500
4 Tm 0.500 0.500 0.000
5 Mg 0.000 0.000 0.500
6 Mg 0.000 0.500 0.000
7 Mg 0.500 0.000 0.000
8 Mg 0.500 0.500 0.500
9 Pd 0.250 0.250 0.750
10 Pd 0.250 0.750 0.250
11 Pd 0.750 0.250 0.250
12 Pd 0.750 0.750 0.750



Tm2MgPd3 after structural relaxation, computed with PBE-GGA.

Cell lengths 4.806, 4.806, 11.649 Å; angles 90.00, 90.00, 120.00 degrees
Sites, in units of the cell vectors:
1 Tm 0.000 0.000 0.000
2 Tm 0.000 0.000 0.500
3 Tm 0.333 0.667 0.177
4 Tm 0.667 0.333 0.823
5 Mg 0.333 0.667 0.666
6 Mg 0.667 0.333 0.334
7 Pd 0.000 0.000 0.252
8 Pd 0.000 0.000 0.748
9 Pd 0.333 0.667 0.423
10 Pd 0.333 0.667 0.916
11 Pd 0.667 0.333 0.084
12 Pd 0.667 0.333 0.577



Number 1: formation energy -502 meV/atom. Number 2: formation energy -648 meV/atom. Number 3: formation energy -801 meV/atom. Number 4: formation energy -264 meV/atom. Number 5: formation energy -547 meV/atom. Number 6: formation energy -875 meV/atom.